Below is InC after structural relaxation, with properties calculated at the PBE level.

Cell lengths 2.7369, 2.7369, 24.4758 Å; angles 90.00, 90.00, 120.00 degrees
With the nearest neighbours (Å) after each atom.
Sites, in units of the cell vectors:
In1 0.3333 0.6667 0.0721  6 In 2.74
In2 0.6667 0.3333 0.5721  6 In 2.74
In3 0.6667 0.3333 0.9279  6 In 2.74
In4 0.3333 0.6667 0.4279  6 In 2.74
C1 0.0000 0.0000 0.2500  3 C 1.58
C2 0.0000 0.0000 0.7500  3 C 1.58
C3 0.3333 0.6667 0.7500  3 C 1.58
C4 0.6667 0.3333 0.2500  3 C 1.58

Summary:
Its symmetry is P6_3/mmc. The calculation puts the volume at 19.8 A^3/atom. The value obtained for the formation energy is 802.4 meV per atom. For the density, the calculation gives 5.31 g/cm³.